# 1
Entry from Alexandria: crystalline RbNaPb11 at its relaxed geometry (PBE).

Structure (extended XYZ):
```
13
Lattice="-4.555 2.156 4.093 -6.641 -6.031 0.728 1.531 -2.384 8.109" Properties=species:S:1:pos:R:3 pbc="T T T"
Rb 0.000 0.000 0.000
Na -5.598 -1.937 2.411
Pb -2.433 -1.299 3.101
Pb -7.233 -4.959 9.829
Pb -7.074 -4.112 4.410
Pb -2.593 -2.147 8.520
Pb -4.920 -4.661 7.111
Pb -4.747 -1.597 5.818
Pb -1.398 -3.649 5.477
Pb -8.268 -2.609 7.453
Pb -3.321 -3.016 0.364
Pb -1.512 -0.114 6.101
Pb 0.765 -1.192 4.054
```

Results
crystal system = monoclinic
DFT total energy = -43.71 eV/cell
D(E_F) = 0.368 states/eV/atom
mass density = 9.09 Mg/m³


# 2
Entry from Alexandria: crystalline Rb2Na4Pb at its relaxed geometry (PBE).

Structure (extended XYZ):
```
7
Lattice="-4.034 1.769 -4.227 -4.574 -1.895 3.572 3.854 9.029 4.509" Properties=species:S:1:pos:R:3 pbc="T T T"
Pb 0.000 0.000 0.000
Na -4.613 6.101 2.546
Na -0.141 2.802 1.307
Na -2.287 -0.948 1.786
Na -2.017 0.884 -2.114
Rb -4.428 2.398 0.820
Rb -0.326 6.505 3.033
```

Results
crystal system = tetragonal
DFT total energy = -10.92 eV/cell
D(E_F) = 0.371 states/eV/atom
mass density = 2.11 Mg/m³


# 3
Entry from Alexandria: crystalline RbNa12Pb6 at its relaxed geometry (PBE).

Structure (extended XYZ):
```
19
Lattice="8.992 0.020 0.028 -2.210 8.716 0.028 -2.210 -2.846 8.238" Properties=species:S:1:pos:R:3 pbc="T T T"
Rb 0.000 0.000 0.000
Na 6.618 -0.418 4.147
Na 5.321 3.612 5.086
Na 2.180 2.808 7.389
Na 2.392 -0.161 3.208
Na 2.392 3.081 0.906
Na -0.749 2.278 3.208
Na -2.046 1.836 7.322
Na 2.286 7.416 0.972
Na -2.046 6.308 4.147
Na 6.618 4.053 0.972
Na 2.286 -1.527 7.322
Na 2.180 6.050 5.086
Pb 4.883 1.798 2.533
Pb 0.532 0.685 5.722
Pb 0.532 5.176 2.533
Pb 4.040 5.204 2.572
Pb -0.310 4.091 5.762
Pb 4.040 0.713 5.762
```

Results
crystal system = trigonal
DFT total energy = -40.35 eV/cell
D(E_F) = 0.316 states/eV/atom
mass density = 4.12 Mg/m³


# 4
Entry from Alexandria: crystalline Rb2NaPb2 at its relaxed geometry (PBE).

Structure (extended XYZ):
```
10
Lattice="7.453 0.000 0.000 -3.726 6.428 0.291 0.000 -2.419 9.653" Properties=species:S:1:pos:R:3 pbc="T T T"
Rb 2.544 1.538 1.373
Rb -1.182 3.681 3.745
Rb 1.182 2.471 8.571
Rb 4.909 0.328 6.199
Na 6.764 -0.605 2.413
Na 0.689 -1.814 7.239
Pb 2.483 3.315 5.010
Pb 6.210 1.904 0.107
Pb 1.243 0.694 4.933
Pb -2.483 2.105 9.837
```

Results
crystal system = monoclinic
DFT total energy = -22.03 eV/cell
D(E_F) = 0.553 states/eV/atom
mass density = 4.32 Mg/m³


# 5
Entry from Alexandria: crystalline RbNa6Pb6 at its relaxed geometry (PBE).

Structure (extended XYZ):
```
13
Lattice="6.420 0.000 2.566 3.117 7.888 1.517 0.281 0.063 8.611" Properties=species:S:1:pos:R:3 pbc="T T T"
Rb 0.000 0.000 0.000
Na 4.443 5.200 7.512
Na 5.374 2.751 5.183
Na 1.226 2.672 6.246
Na 2.171 5.279 3.883
Na 2.605 1.592 2.797
Na 7.213 6.359 9.897
Pb 1.558 3.944 0.759
Pb 4.768 3.944 2.042
Pb 0.140 0.032 4.306
Pb 3.351 0.032 5.589
Pb 5.693 6.140 4.386
Pb 4.125 1.812 8.309
```

Results
crystal system = orthorhombic
DFT total energy = -32.71 eV/cell
D(E_F) = 0.698 states/eV/atom
mass density = 5.66 Mg/m³


# 6
Entry from Alexandria: crystalline RbNa3Pb at its relaxed geometry (PBE).

Structure (extended XYZ):
```
20
Lattice="-6.438 -2.036 4.277 -7.137 -1.575 -7.692 -0.645 -10.378 -2.113" Properties=species:S:1:pos:R:3 pbc="T T T"
Rb -8.517 -2.395 -6.426
Rb -5.703 -11.595 0.898
Rb -4.599 -7.707 -3.059
Rb -9.620 -6.282 -2.469
Na -9.066 -12.284 -4.406
Na -6.245 -5.608 2.844
Na -5.153 -1.706 -1.123
Na -7.974 -8.381 -8.372
Na -8.397 -2.601 1.220
Na -11.177 -9.510 -6.446
Na -5.822 -11.389 -6.749
Na -3.042 -4.480 0.918
Na -7.901 -8.901 -4.880
Na -3.113 -4.051 -2.798
Na -6.318 -5.088 -0.648
Na -11.106 -9.938 -2.730
Pb -7.953 -10.067 -1.834
Pb -7.181 -8.066 0.425
Pb -6.267 -3.923 -3.694
Pb -7.039 -5.923 -5.954
```

Results
crystal system = monoclinic
DFT total energy = -35.59 eV/cell
D(E_F) = 0.559 states/eV/atom
mass density = 2.91 Mg/m³


# 7
Entry from Alexandria: crystalline Rb2NaPb2 at its relaxed geometry (PBE).

Structure (extended XYZ):
```
10
Lattice="-5.324 7.067 1.039 -7.121 -5.149 -1.466 -0.368 -1.117 5.711" Properties=species:S:1:pos:R:3 pbc="T T T"
Pb -8.342 -1.837 -0.897
Pb -9.092 3.078 0.016
Pb -4.103 3.756 0.470
Pb -3.352 -1.160 -0.443
Na 0.000 0.000 0.000
Na -6.222 0.959 -0.213
Rb -5.990 -2.787 2.046
Rb -9.643 0.030 2.361
Rb -6.823 3.588 3.239
Rb -3.170 0.771 2.923
```

Results
crystal system = tetragonal
DFT total energy = -21.68 eV/cell
D(E_F) = 1.096 states/eV/atom
mass density = 4.37 Mg/m³


# 8
Entry from Alexandria: crystalline Rb2Na17Pb3 at its relaxed geometry (PBE).

Structure (extended XYZ):
```
22
Lattice="9.608 -0.057 0.967 0.869 9.569 0.967 -0.062 -0.057 9.656" Properties=species:S:1:pos:R:3 pbc="T T T"
Rb 3.453 3.135 3.843
Rb 6.962 6.320 7.748
Na 4.804 -0.028 0.484
Na -0.031 -0.028 4.828
Na 0.435 4.784 0.484
Na 0.624 7.039 3.251
Na 7.311 2.473 0.967
Na 2.479 -0.057 7.372
Na 3.166 7.039 0.967
Na 7.066 -0.057 3.251
Na 0.182 2.473 7.372
Na 2.306 6.321 7.249
Na 6.962 6.321 3.065
Na 6.513 1.686 7.249
Na 8.109 3.135 4.342
Na 3.453 3.135 8.525
Na 3.901 7.769 4.342
Na 1.052 0.955 1.171
Na 9.362 8.500 10.420
Pb 0.403 4.756 5.312
Pb 5.238 4.756 0.967
Pb 4.773 -0.057 5.312
```

Results
crystal system = trigonal
DFT total energy = -34.61 eV/cell
D(E_F) = 0.679 states/eV/atom
mass density = 2.21 Mg/m³


# 9
Entry from Alexandria: crystalline RbNa2Pb at its relaxed geometry (PBE).

Structure (extended XYZ):
```
4
Lattice="-4.334 -3.435 0.490 0.807 -5.299 1.446 -1.768 -1.248 7.072" Properties=species:S:1:pos:R:3 pbc="T T T"
Rb -2.663 -4.946 4.676
Na -1.732 -1.348 6.685
Na -1.237 -2.739 1.310
Pb -4.077 -7.187 7.913
```

Results
crystal system = trigonal
DFT total energy = -7.53 eV/cell
D(E_F) = 0.894 states/eV/atom
mass density = 3.16 Mg/m³


# 10
Entry from Alexandria: crystalline Rb2NaPb at its relaxed geometry (PBE).

Structure (extended XYZ):
```
16
Lattice="-4.951 2.651 4.274 -0.271 -9.326 5.471 8.090 8.472 4.117" Properties=species:S:1:pos:R:3 pbc="T T T"
Rb -2.437 2.609 4.297
Rb 5.442 3.851 6.828
Rb 5.305 -0.811 9.564
Rb -2.574 -2.054 7.034
Rb 2.108 2.601 9.873
Rb 0.366 -5.329 6.947
Rb 0.759 -0.804 3.989
Rb 2.502 7.126 6.915
Na 1.510 3.446 5.440
Na 3.968 1.689 3.550
Na 1.357 -1.649 8.422
Na -1.101 0.109 10.311
Pb -0.176 1.098 7.189
Pb 3.746 5.058 3.448
Pb 3.043 0.699 6.673
Pb -0.878 -3.261 10.413
```

Results
crystal system = monoclinic
DFT total energy = -29.13 eV/cell
D(E_F) = 0.633 states/eV/atom
mass density = 3.13 Mg/m³


# 11
Entry from Alexandria: crystalline RbNaPb3 at its relaxed geometry (PBE).

Structure (extended XYZ):
```
5
Lattice="6.282 0.000 0.000 0.000 6.282 0.000 0.000 0.000 6.282" Properties=species:S:1:pos:R:3 pbc="T T T"
Pb 0.000 3.141 0.000
Pb 0.000 0.000 3.141
Pb 3.141 0.000 0.000
Na 3.141 3.141 3.141
Rb 0.000 0.000 0.000
```

Results
crystal system = cubic
DFT total energy = -9.19 eV/cell
D(E_F) = 0.769 states/eV/atom
mass density = 4.89 Mg/m³


# 12
Entry from Alexandria: crystalline RbNa6Pb at its relaxed geometry (PBE).

Structure (extended XYZ):
```
8
Lattice="5.845 0.000 0.000 0.000 6.157 0.000 0.000 0.000 8.547" Properties=species:S:1:pos:R:3 pbc="T T T"
Rb 0.000 4.274 0.000
Na 2.923 5.130 2.628
Na 0.000 1.223 5.968
Na 0.000 1.223 2.579
Na 2.923 5.130 5.919
Na 0.000 4.050 4.273
Na 2.923 1.520 0.000
Pb 2.923 2.079 4.273
```

Results
crystal system = orthorhombic
DFT total energy = -12.72 eV/cell
D(E_F) = 0.449 states/eV/atom
mass density = 2.32 Mg/m³


> What is the formula in the ninth record?

RbNa2Pb